# 1
First-principles (GGA-PBE) data for a relaxed Ba2USe6 crystal, as listed in Alexandria via LeMat-Bulk.

It has space group P-1 (No. 2), with a = 7.3753 Å, b = 8.3736 Å, c = 9.9540 Å, α = 99.68°, β = 99.26° and γ = 100.02°. Symmetry generates all atoms from Ba at (0.0424, 0.0190, 0.2271), Ba at (0.4495, 0.6084, 0.2412), U at (0.0000, 0.5000, 0.5000), U at (0.5000, 0.0000, 0.0000), Se at (0.0321, 0.3956, 0.7412), Se at (0.1996, 0.7711, 0.9897), Se at (0.2036, 0.8149, 0.4876), Se at (0.2811, 0.3612, 0.4417), Se at (0.3036, 0.2418, 0.0277) and Se at (0.4258, 0.9786, 0.7147).

Its uncorrected formation energy is -1.294 eV per atom.

# 2
First-principles (GGA-PBE) data for a relaxed AgBi2S2 crystal, as listed in Alexandria via LeMat-Bulk.

It has space group P4/mbm (No. 127), with a = 8.0365 Å, b = 8.0365 Å, c = 3.7158 Å, α = 90.00°, β = 90.00° and γ = 90.00°. Symmetry generates all atoms from Ag at (0.0000, 0.0000, 0.0000), Bi at (0.1769, 0.3231, 0.5000) and S at (0.1442, 0.6442, 0.0000).

Its uncorrected formation energy is 0.130 eV per atom.

# 3
First-principles (GGA-PBE) data for a relaxed Ir5Pt crystal, as listed in Alexandria via LeMat-Bulk.

It has space group Cm (No. 8), with a = 10.2200 Å, b = 2.7451 Å, c = 6.5624 Å, α = 90.00°, β = 105.49° and γ = 90.00°. Symmetry generates all atoms from Ir at (0.0000, 0.0000, 0.0000), Ir at (0.0539, 0.0000, 0.6182), Ir at (0.1588, 0.5000, 0.3386), Ir at (0.2171, 0.5000, 0.9427), Ir at (0.3288, 0.0000, 0.6714) and Pt at (0.3826, 0.0000, 0.2810).

The value obtained for the energy of formation is 0.104 eV/atom.

# 4
First-principles (GGA-PBE) data for a relaxed Si2PHRh crystal, as listed in Alexandria via LeMat-Bulk.

It has space group P4/mmm (No. 123), with a = 4.3265 Å, b = 4.3265 Å, c = 3.3760 Å, α = 90.00°, β = 90.00° and γ = 90.00°. Symmetry generates all atoms from Si at (0.0000, 0.5000, 0.0000), P at (0.0000, 0.0000, 0.5000), H at (0.5000, 0.5000, 0.0000) and Rh at (0.5000, 0.5000, 0.5000).

# 5
First-principles (GGA-PBE) data for a relaxed Li6Al2Cu crystal, as listed in Alexandria via LeMat-Bulk.

It has space group R-3m (No. 166, hexagonal axes), with a = 7.8181 Å, b = 7.8181 Å, c = 7.7949 Å, α = 90.00°, β = 90.00° and γ = 120.00°. Symmetry generates all atoms from Li at (0.0000, 0.3330, 0.0000), Al at (0.0000, 0.0000, 0.1742) and Cu at (0.0000, 0.0000, 0.5000).

The value obtained for the energy of formation is -0.119 eV/atom.

# 6
First-principles (GGA-PBE) data for a relaxed CsAs2AuSe crystal, as listed in Alexandria via LeMat-Bulk.

It has space group P4/mmm (No. 123), with a = 6.1608 Å, b = 6.1608 Å, c = 5.6499 Å, α = 90.00°, β = 90.00° and γ = 90.00°. Symmetry generates all atoms from Cs at (0.0000, 0.0000, 0.0000), As at (0.0000, 0.5000, 0.0000), Au at (0.5000, 0.5000, 0.5000) and Se at (0.0000, 0.0000, 0.5000).

Its uncorrected formation energy is 1.762 eV per atom.

# 7
First-principles (GGA-PBE) data for a relaxed BaY2Be crystal, as listed in Alexandria via LeMat-Bulk.

It has space group I-4m2 (No. 119), with a = 4.8757 Å, b = 4.8757 Å, c = 9.9373 Å, α = 90.00°, β = 90.00° and γ = 90.00°. Symmetry generates all atoms from Ba at (0.0000, 0.0000, 0.0000), Y at (0.0000, 0.0000, 0.5000), Y at (0.0000, 0.5000, 0.2500) and Be at (0.0000, 0.5000, 0.7500).

The value obtained for the energy of formation is 0.553 eV/atom.

# 8
First-principles (GGA-PBE) data for a relaxed Ac6P4Pb crystal, as listed in Alexandria via LeMat-Bulk.

It has space group Cmcm (No. 63), with a = 4.4668 Å, b = 14.6690 Å, c = 22.8690 Å, α = 90.00°, β = 90.00° and γ = 90.00°. Symmetry generates all atoms from Ac at (0.0000, 0.0000, 0.0000), Ac at (0.0000, 0.1619, 0.2500), Ac at (0.0000, 0.2737, 0.5810), Ac at (0.0000, 0.4580, 0.1572), P at (0.0000, 0.0907, 0.1243), P at (0.0000, 0.3620, 0.0408) and Pb at (0.0000, 0.1623, 0.7500).

The value obtained for the energy of formation is -1.200 eV/atom.

# 9
First-principles (GGA-PBE) data for a relaxed In2HgPtCl crystal, as listed in Alexandria via LeMat-Bulk.

It has space group P4/mmm (No. 123), with a = 5.2185 Å, b = 5.2185 Å, c = 5.3213 Å, α = 90.00°, β = 90.00° and γ = 90.00°. Symmetry generates all atoms from In at (0.0000, 0.5000, 0.0000), Hg at (0.0000, 0.0000, 0.5000), Pt at (0.0000, 0.0000, 0.0000) and Cl at (0.5000, 0.5000, 0.5000).

Its uncorrected formation energy is -0.462 eV per atom.

# 10
First-principles (GGA-PBE) data for a relaxed LiBeBr3 crystal, as listed in Alexandria via LeMat-Bulk.

It has space group P-1 (No. 2), with a = 6.5606 Å, b = 6.5616 Å, c = 8.4043 Å, α = 67.03°, β = 67.12° and γ = 60.01°. Symmetry generates all atoms from Li at (0.1663, 0.1665, 0.0008), Be at (0.4267, 0.4265, 0.2203), Br at (0.1062, 0.7443, 0.2242), Br at (0.2553, 0.5747, 0.7759) and Br at (0.4259, 0.1057, 0.2242).

Its uncorrected formation energy is -1.152 eV per atom.

# 11
First-principles (GGA-PBE) data for a relaxed Tm6Ag2S crystal, as listed in Alexandria via LeMat-Bulk.

It has space group P2_1/c (No. 14), with a = 6.4382 Å, b = 7.2393 Å, c = 11.7449 Å, α = 90.00°, β = 121.29° and γ = 90.00°. Symmetry generates all atoms from Tm at (0.1040, 0.1977, 0.4432), Tm at (0.2738, 0.6715, 0.4400), Tm at (0.3856, 0.0271, 0.2449), Ag at (0.1716, 0.1096, 0.7395) and S at (0.5000, 0.0000, 0.5000).

Its uncorrected formation energy is -0.538 eV per atom.

# 12
First-principles (GGA-PBE) data for a relaxed Ag2IrSe crystal, as listed in Alexandria via LeMat-Bulk.

It has space group Cm (No. 8), with a = 11.2986 Å, b = 3.0766 Å, c = 4.6634 Å, α = 90.00°, β = 102.67° and γ = 90.00°. Symmetry generates all atoms from Ag at (0.0000, 0.0000, 0.0000), Ag at (0.1603, 0.0000, 0.6044), Ir at (0.4423, 0.0000, 0.4802) and Se at (0.2872, 0.5000, 0.2638).

Its uncorrected formation energy is 0.270 eV per atom.

# 13
First-principles (GGA-PBE) data for a relaxed RbLi6Cl8 crystal, as listed in Alexandria via LeMat-Bulk.

It has space group R-3 (No. 148, hexagonal axes), with a = 10.8139 Å, b = 10.8139 Å, c = 10.2532 Å, α = 90.00°, β = 90.00° and γ = 120.00°. Symmetry generates all atoms from Rb at (0.0000, 0.0000, 0.0000), Li at (0.0614, 0.8212, 0.6257), Cl at (0.0000, 0.0000, 0.3271) and Cl at (0.0169, 0.6377, 0.7805).

Its uncorrected formation energy is -1.631 eV per atom.

# 14
First-principles (GGA-PBE) data for a relaxed Ac3Nd4Tm crystal, as listed in Alexandria via LeMat-Bulk.

It has space group Pmmn (No. 59, origin choice 2), with a = 5.3569 Å, b = 10.6441 Å, c = 10.6584 Å, α = 90.00°, β = 90.00° and γ = 90.00°. Symmetry generates all atoms from Ac at (0.2500, 0.0044, 0.1309), Ac at (0.2500, 0.2500, 0.8689), Nd at (0.2500, 0.2500, 0.3787), Nd at (0.2500, 0.5047, 0.6189), Nd at (0.2500, 0.7500, 0.3843) and Tm at (0.2500, 0.7500, 0.8642).

The value obtained for the energy of formation is 0.041 eV/atom.

# 15
First-principles (GGA-PBE) data for a relaxed Ac4Ir2Pd5 crystal, as listed in Alexandria via LeMat-Bulk.

It has space group P2/m (No. 10), with a = 7.3346 Å, b = 4.2306 Å, c = 8.6294 Å, α = 90.00°, β = 93.74° and γ = 90.00°. Symmetry generates all atoms from Ac at (0.2327, 0.0000, 0.3738), Ac at (0.2462, 0.0000, 0.8959), Ir at (0.0842, 0.5000, 0.1340), Pd at (0.1525, 0.5000, 0.6301), Pd at (0.4610, 0.5000, 0.1732) and Pd at (0.5000, 0.5000, 0.5000).

The value obtained for the energy of formation is -0.692 eV/atom.

# 16
First-principles (GGA-PBE) data for a relaxed KSr2TaI crystal, as listed in Alexandria via LeMat-Bulk.

It has space group P4/mmm (No. 123), with a = 6.8473 Å, b = 6.8473 Å, c = 5.6185 Å, α = 90.00°, β = 90.00° and γ = 90.00°. Symmetry generates all atoms from K at (0.0000, 0.0000, 0.0000), Sr at (0.0000, 0.5000, 0.0000), Ta at (0.0000, 0.0000, 0.5000) and I at (0.5000, 0.5000, 0.5000).

Its uncorrected formation energy is 1.384 eV per atom.

# 17
First-principles (GGA-PBE) data for a relaxed Mg3MnGe crystal, as listed in Alexandria via LeMat-Bulk.

It has space group Pm-3m (No. 221), with a = 5.0097 Å, b = 5.0097 Å, c = 5.0097 Å, α = 90.00°, β = 90.00° and γ = 90.00°. Symmetry generates all atoms from Mg at (0.0000, 0.0000, 0.5000), Mn at (0.0000, 0.0000, 0.0000) and Ge at (0.5000, 0.5000, 0.5000).

The value obtained for the energy of formation is 0.744 eV/atom.

# 18
First-principles (GGA-PBE) data for a relaxed SbMo2Os crystal, as listed in Alexandria via LeMat-Bulk.

It has space group C2/m (No. 12), with a = 9.5756 Å, b = 3.0934 Å, c = 4.6384 Å, α = 90.00°, β = 102.44° and γ = 90.00°. Symmetry generates all atoms from Sb at (0.0000, 0.0000, 0.0000), Mo at (0.2435, 0.0000, 0.7211) and Os at (0.0000, 0.5000, 0.5000).

Its uncorrected formation energy is 0.302 eV per atom.

# 19
First-principles (GGA-PBE) data for a relaxed Y3CdO crystal, as listed in Alexandria via LeMat-Bulk.

It has space group P1 (No. 1), with a = 6.4952 Å, b = 6.5761 Å, c = 6.8464 Å, α = 92.14°, β = 117.81° and γ = 97.98°. Symmetry generates all atoms from Y at (0.0000, 0.0000, 0.0000), Y at (0.0510, 0.3906, 0.6939), Y at (0.2042, 0.5468, 0.2664), Y at (0.4533, 0.0780, 0.5578), Y at (0.5931, 0.3110, 0.1193), Y at (0.8612, 0.8388, 0.4339), Cd at (0.4186, 0.8217, 0.9490), Cd at (0.6404, 0.5603, 0.7497), O at (0.1275, 0.8571, 0.3186) and O at (0.8257, 0.0872, 0.6382).

Its uncorrected formation energy is -1.271 eV per atom.

# 20
First-principles (GGA-PBE) data for a relaxed Pu3Zn2Pt4 crystal, as listed in Alexandria via LeMat-Bulk.

It has space group C2/m (No. 12), with a = 10.8817 Å, b = 4.3728 Å, c = 8.5859 Å, α = 90.00°, β = 116.62° and γ = 90.00°. Symmetry generates all atoms from Pu at (0.0000, 0.0000, 0.0000), Pu at (0.1372, 0.5000, 0.6895), Zn at (0.1657, 0.5000, 0.3355), Pt at (0.0749, 0.0000, 0.4008) and Pt at (0.2106, 0.5000, 0.0676).

The value obtained for the energy of formation is -0.687 eV/atom.

# 21
First-principles (GGA-PBE) data for a relaxed Sm7Ho3Er2 crystal, as listed in Alexandria via LeMat-Bulk.

It has space group Cmmm (No. 65), with a = 5.7453 Å, b = 37.9411 Å, c = 3.6079 Å, α = 90.00°, β = 90.00° and γ = 90.00°. Symmetry generates all atoms from Sm at (0.0000, 0.0000, 0.0000), Sm at (0.0000, 0.0726, 0.5000), Sm at (0.0000, 0.2320, 0.0000), Sm at (0.0000, 0.4071, 0.0000), Ho at (0.0000, 0.3153, 0.5000), Ho at (0.0000, 0.5000, 0.5000) and Er at (0.0000, 0.1486, 0.0000).

The value obtained for the energy of formation is 0.114 eV/atom.

# 22
First-principles (GGA-PBE) data for a relaxed Ca3InGe crystal, as listed in Alexandria via LeMat-Bulk.

It has space group Pm-3m (No. 221), with a = 5.6654 Å, b = 5.6654 Å, c = 5.6654 Å, α = 90.00°, β = 90.00° and γ = 90.00°. Symmetry generates all atoms from Ca at (0.0000, 0.0000, 0.5000), In at (0.5000, 0.5000, 0.5000) and Ge at (0.0000, 0.0000, 0.0000).

The value obtained for the energy of formation is -0.256 eV/atom.

# 23
First-principles (GGA-PBE) data for a relaxed SmErSiIr crystal, as listed in Alexandria via LeMat-Bulk.

It has space group Amm2 (No. 38), with a = 3.9415 Å, b = 4.2165 Å, c = 10.7815 Å, α = 90.00°, β = 90.00° and γ = 90.00°. Symmetry generates all atoms from Sm at (0.0000, 0.0000, 0.0000), Er at (0.5000, 0.0000, 0.2824), Si at (0.5000, 0.0000, 0.5828) and Ir at (0.0000, 0.0000, 0.7230).

Its uncorrected formation energy is -0.838 eV per atom.

Ordered VASP energy results: -5.2985; -3.6433; -8.2866; -4.9945; -2.6817; -1.6209; -4.0917; -5.7454; -3.1957; -3.2839; -4.6114; -4.2421; -3.4456; -4.4429; -6.1579; -2.1893; -2.9697; -8.9511; -6.3238; -8.4321; -4.5435; -2.9283; -6.7295; unit eV/atom.
Ordered density of states at the Fermi level results: 0.71; 5.61; 16.30; 2.17; 10.87; 3.82; 10.37; 18.24; 1.57; 0.00; 19.72; 7.62; 25.08; 26.08; 7.03; 4.92; 6.24; 4.87; 5.67; 68.75; 37.40; 4.33; 4.93; unit states/eV per cell.